Entry from Alexandria via LeMat-Bulk: Ti6GaSb after structural relaxation (PBE-GGA).

Lattice parameters (Å, degrees): 4.693 5.661 5.661 65.93 90.00 90.00
Fractional coordinates of all 8 atoms:
Ti 0.000 0.000 0.000
Ti 0.000 0.501 0.948
Ti 0.000 0.948 0.501
Ti 0.500 0.261 0.261
Ti 0.500 0.308 0.768
Ti 0.500 0.768 0.308
Ga 0.500 0.803 0.803
Sb 0.000 0.458 0.458

Formation energy (no corrections) = -0.34 eV/atom
Calculated density = 5.79 g/cm3
Space-group type = Amm2 (38)

Entry from Alexandria via LeMat-Bulk: Pm2CrC2N6 after structural relaxation (PBE-GGA).

Lattice parameters (Å, degrees): 5.098 5.098 6.022 115.72 115.72 59.37
Fractional coordinates of all 11 atoms:
Pm 0.212 0.212 0.190
Pm 0.788 0.788 0.810
Cr 0.000 0.000 0.500
C 0.434 0.434 0.730
C 0.566 0.566 0.270
N 0.241 0.708 0.228
N 0.263 0.263 0.656
N 0.292 0.759 0.772
N 0.708 0.241 0.228
N 0.737 0.737 0.344
N 0.759 0.292 0.772

Formation energy (no corrections) = -0.62 eV/atom
Calculated density = 6.40 g/cm3
Space-group type = C2/m (12)

Entry from Alexandria via LeMat-Bulk: Pm2ZnCl after structural relaxation (PBE-GGA).

Lattice parameters (Å, degrees): 7.455 7.455 7.455 31.98 31.98 31.98
Fractional coordinates of all 4 atoms:
Pm 0.249 0.249 0.249
Pm 0.751 0.751 0.751
Zn 0.000 0.000 0.000
Cl 0.500 0.500 0.500

Formation energy (no corrections) = -0.83 eV/atom
Calculated density = 6.29 g/cm3
Space-group type = R-3m (166)

| no. | total energy (eV/atom) |
| --- | --- |
| 1 | -7.151 |
| 2 | -8.576 |
| 3 | -3.982 |